# 1
DFT (PBE-GGA) results for Y5Er3Th3 after structural relaxation.

Structure (CIF):
```
data_Y5Er3Th3
_symmetry_space_group_name_H-M 'A m m 2'
_symmetry_Int_Tables_number 38
_cell_length_a 3.556
_cell_length_b 19.355
_cell_length_c 10.518
_cell_angle_alpha 90.00
_cell_angle_beta 90.00
_cell_angle_gamma 90.00
loop_
_symmetry_equiv_pos_as_xyz
'x,y,z'
'-x,-y,z'
'-x,y,z'
'x,-y,z'
'x,y+1/2,z+1/2'
'-x,-y+1/2,z+1/2'
'-x,y+1/2,z+1/2'
'x,-y+1/2,z+1/2'
loop_
_atom_site_label
_atom_site_type_symbol
_atom_site_fract_x
_atom_site_fract_y
_atom_site_fract_z
Y1 Y 0.000 0.000 0.000
Y2 Y 0.500 0.159 0.518
Y3 Y 0.500 0.160 0.940
Er1 Er 0.000 0.000 0.457
Er2 Er 0.500 0.084 0.230
Th1 Th 0.000 0.231 0.229
Th2 Th 0.500 0.000 0.727
```

The total energy comes out at -66.67 eV per formula unit. For the formation energy from the elements, the calculation gives 0.14 eV per atom.



# 2
DFT (PBE-GGA) results for Y3Er3Th after structural relaxation.

Structure (CIF):
```
data_Y3Er3Th
_symmetry_space_group_name_H-M 'R 3 m'
_symmetry_Int_Tables_number 160
_symmetry_space_group_name_Hall 'R 3 -2"'
_cell_length_a 10.0501
_cell_length_b 10.0501
_cell_length_c 8.0077
_cell_angle_alpha 90.00
_cell_angle_beta 90.00
_cell_angle_gamma 120.00
loop_
_atom_site_label
_atom_site_type_symbol
_atom_site_fract_x
_atom_site_fract_y
_atom_site_fract_z
Y1 Y 0.0560 0.5280 0.0000
Er1 Er 0.0968 0.5484 0.5708
Th1 Th 0.0000 0.0000 0.6019
```

The total energy comes out at -38.55 eV per formula unit. For the formation energy from the elements, the calculation gives 0.28 eV per atom.



# 3
DFT (PBE-GGA) results for YErTh2 after structural relaxation.

Structure (CIF):
```
data_YErTh2
_symmetry_space_group_name_H-M 'C 1 2/c 1'
_symmetry_Int_Tables_number 15
_cell_length_a 5.957
_cell_length_b 28.242
_cell_length_c 3.508
_cell_angle_alpha 90.00
_cell_angle_beta 90.62
_cell_angle_gamma 90.00
loop_
_symmetry_equiv_pos_as_xyz
'x,y,z'
'-x,-y,-z'
'-x,y,-z+1/2'
'x,-y,z+1/2'
'x+1/2,y+1/2,z'
'-x+1/2,-y+1/2,-z'
'-x+1/2,y+1/2,-z+1/2'
'x+1/2,-y+1/2,z+1/2'
loop_
_atom_site_label
_atom_site_type_symbol
_atom_site_fract_x
_atom_site_fract_y
_atom_site_fract_z
Y1 Y 0.250 0.250 0.000
Er1 Er 0.000 0.150 0.750
Th1 Th 0.249 0.448 0.530
```

The total energy comes out at -23.76 eV per formula unit. For the formation energy from the elements, the calculation gives 0.53 eV per atom.



# 4
DFT (PBE-GGA) results for Y2ErTh after structural relaxation.

Structure (CIF):
```
data_Y2ErTh
_symmetry_space_group_name_H-M 'P -3 m 1'
_symmetry_Int_Tables_number 164
_symmetry_space_group_name_Hall '-P 3 2"'
_cell_length_a 3.5901
_cell_length_b 3.5901
_cell_length_c 11.4131
_cell_angle_alpha 90.00
_cell_angle_beta 90.00
_cell_angle_gamma 120.00
loop_
_atom_site_label
_atom_site_type_symbol
_atom_site_fract_x
_atom_site_fract_y
_atom_site_fract_z
Y1 Y 0.3333 0.6667 0.2468
Er1 Er 0.0000 0.0000 0.5000
Th1 Th 0.0000 0.0000 0.0000
```

The total energy comes out at -24.92 eV per formula unit. For the formation energy from the elements, the calculation gives 0.00 eV per atom.



# 5
DFT (PBE-GGA) results for Y6Er3Th after structural relaxation.

Structure (CIF):
```
data_Y6Er3Th
_symmetry_space_group_name_H-M 'C m c 21'
_symmetry_Int_Tables_number 36
_cell_length_a 11.075
_cell_length_b 18.817
_cell_length_c 6.270
_cell_angle_alpha 90.00
_cell_angle_beta 90.00
_cell_angle_gamma 90.00
loop_
_symmetry_equiv_pos_as_xyz
'x,y,z'
'-x,-y,z+1/2'
'-x,y,z'
'x,-y,z+1/2'
'x+1/2,y+1/2,z'
'-x+1/2,-y+1/2,z+1/2'
'-x+1/2,y+1/2,z'
'x+1/2,-y+1/2,z+1/2'
loop_
_atom_site_label
_atom_site_type_symbol
_atom_site_fract_x
_atom_site_fract_y
_atom_site_fract_z
Y1 Y 0.000 0.047 0.000
Y2 Y 0.000 0.272 0.247
Y3 Y 0.163 0.456 0.358
Y4 Y 0.245 0.291 0.530
Er1 Er 0.000 0.387 0.828
Er2 Er 0.173 0.110 0.443
Th1 Th 0.000 0.205 0.748
```

The total energy comes out at -58.25 eV per formula unit. For the formation energy from the elements, the calculation gives 0.16 eV per atom.



# 6
DFT (PBE-GGA) results for Y4ErTh2 after structural relaxation.

Structure (CIF):
```
data_Y4ErTh2
_symmetry_space_group_name_H-M 'I 4/m m m'
_symmetry_Int_Tables_number 139
_symmetry_space_group_name_Hall '-I 4 2'
_cell_length_a 8.387
_cell_length_b 8.387
_cell_length_c 6.738
_cell_angle_alpha 90.00
_cell_angle_beta 90.00
_cell_angle_gamma 90.00
loop_
_atom_site_label
_atom_site_type_symbol
_atom_site_fract_x
_atom_site_fract_y
_atom_site_fract_z
Y1 Y 0.204 0.204 0.000
Er1 Er 0.000 0.000 0.500
Th1 Th 0.000 0.500 0.250
```

The total energy comes out at -43.23 eV per formula unit. For the formation energy from the elements, the calculation gives 0.29 eV per atom.



# 7
DFT (PBE-GGA) results for Y7Er4Th after structural relaxation.

Structure (CIF):
```
data_Y7Er4Th
_symmetry_space_group_name_H-M 'P -3 m 1'
_symmetry_Int_Tables_number 164
_symmetry_space_group_name_Hall '-P 3 2"'
_cell_length_a 5.6098
_cell_length_b 5.6098
_cell_length_c 13.9524
_cell_angle_alpha 90.00
_cell_angle_beta 90.00
_cell_angle_gamma 120.00
loop_
_atom_site_label
_atom_site_type_symbol
_atom_site_fract_x
_atom_site_fract_y
_atom_site_fract_z
Y1 Y 0.0000 0.0000 0.0000
Y2 Y 0.0000 0.0000 0.2525
Y3 Y 0.3333 0.6667 0.1248
Y4 Y 0.3333 0.6667 0.3751
Er1 Er 0.3333 0.6667 0.6257
Er2 Er 0.3333 0.6667 0.8724
Th1 Th 0.0000 0.0000 0.5000
```

The total energy comes out at -70.16 eV per formula unit. For the formation energy from the elements, the calculation gives 0.06 eV per atom.



# 8
DFT (PBE-GGA) results for YErTh4 after structural relaxation.

Structure (CIF):
```
data_YErTh4
_symmetry_space_group_name_H-M 'P m m m'
_symmetry_Int_Tables_number 47
_cell_length_a 3.489
_cell_length_b 5.707
_cell_length_c 9.871
_cell_angle_alpha 90.00
_cell_angle_beta 90.00
_cell_angle_gamma 90.00
loop_
_symmetry_equiv_pos_as_xyz
'x,y,z'
'-x,-y,-z'
'-x,-y,z'
'x,y,-z'
'x,-y,-z'
'-x,y,z'
'-x,y,-z'
'x,-y,z'
loop_
_atom_site_label
_atom_site_type_symbol
_atom_site_fract_x
_atom_site_fract_y
_atom_site_fract_z
Y1 Y 0.000 0.000 0.000
Er1 Er 0.000 0.500 0.500
Th1 Th 0.500 0.000 0.334
Th2 Th 0.500 0.500 0.168
```

The total energy comes out at -40.22 eV per formula unit. For the formation energy from the elements, the calculation gives 0.08 eV per atom.



# 9
DFT (PBE-GGA) results for Y2ErTh4 after structural relaxation.

Structure (CIF):
```
data_Y2ErTh4
_symmetry_space_group_name_H-M 'P 42/m n m'
_symmetry_Int_Tables_number 136
_symmetry_space_group_name_Hall '-P 4n 2n'
_cell_length_a 9.262
_cell_length_b 9.262
_cell_length_c 5.633
_cell_angle_alpha 90.00
_cell_angle_beta 90.00
_cell_angle_gamma 90.00
loop_
_atom_site_label
_atom_site_type_symbol
_atom_site_fract_x
_atom_site_fract_y
_atom_site_fract_z
Y1 Y 0.175 0.175 0.000
Er1 Er 0.000 0.000 0.500
Th1 Th 0.112 0.372 0.500
```

The total energy comes out at -44.80 eV per formula unit. For the formation energy from the elements, the calculation gives 0.34 eV per atom.



# 10
DFT (PBE-GGA) results for YEr9Th2 after structural relaxation.

Structure (CIF):
```
data_YEr9Th2
_symmetry_space_group_name_H-M 'P 4/m m m'
_symmetry_Int_Tables_number 123
_symmetry_space_group_name_Hall '-P 4 2'
_cell_length_a 4.991
_cell_length_b 4.991
_cell_length_c 14.925
_cell_angle_alpha 90.00
_cell_angle_beta 90.00
_cell_angle_gamma 90.00
loop_
_atom_site_label
_atom_site_type_symbol
_atom_site_fract_x
_atom_site_fract_y
_atom_site_fract_z
Y1 Y 0.000 0.000 0.000
Er1 Er 0.000 0.500 0.169
Er2 Er 0.000 0.500 0.500
Er3 Er 0.500 0.500 0.000
Er4 Er 0.500 0.500 0.333
Th1 Th 0.000 0.000 0.334
```

The total energy comes out at -61.96 eV per formula unit. For the formation energy from the elements, the calculation gives 0.03 eV per atom.



# 11
DFT (PBE-GGA) results for YEr6Th4 after structural relaxation.

Structure (CIF):
```
data_YEr6Th4
_symmetry_space_group_name_H-M 'I m m m'
_symmetry_Int_Tables_number 71
_symmetry_space_group_name_Hall '-I 2 2'
_cell_length_a 3.413
_cell_length_b 5.815
_cell_length_c 35.581
_cell_angle_alpha 90.00
_cell_angle_beta 90.00
_cell_angle_gamma 90.00
loop_
_atom_site_label
_atom_site_type_symbol
_atom_site_fract_x
_atom_site_fract_y
_atom_site_fract_z
Y1 Y 0.000 0.000 0.000
Er1 Er 0.000 0.500 0.131
Er2 Er 0.000 0.500 0.233
Er3 Er 0.000 0.500 0.404
Th1 Th 0.000 0.000 0.182
Th2 Th 0.000 0.000 0.456
```

The total energy comes out at -61.76 eV per formula unit. For the formation energy from the elements, the calculation gives 0.16 eV per atom.



# 12
DFT (PBE-GGA) results for Y8ErTh2 after structural relaxation.

Structure (CIF):
```
data_Y8ErTh2
_symmetry_space_group_name_H-M 'C 1 2/m 1'
_symmetry_Int_Tables_number 12
_cell_length_a 16.745
_cell_length_b 6.635
_cell_length_c 6.646
_cell_angle_alpha 90.00
_cell_angle_beta 99.21
_cell_angle_gamma 90.00
loop_
_symmetry_equiv_pos_as_xyz
'x,y,z'
'-x,-y,-z'
'-x,y,-z'
'x,-y,z'
'x+1/2,y+1/2,z'
'-x+1/2,-y+1/2,-z'
'-x+1/2,y+1/2,-z'
'x+1/2,-y+1/2,z'
loop_
_atom_site_label
_atom_site_type_symbol
_atom_site_fract_x
_atom_site_fract_y
_atom_site_fract_z
Y1 Y 0.087 0.241 0.401
Y2 Y 0.091 0.000 0.902
Y3 Y 0.199 0.500 0.820
Er1 Er 0.000 0.500 0.000
Th1 Th 0.248 0.500 0.339
```

The total energy comes out at -69.09 eV per formula unit. For the formation energy from the elements, the calculation gives 0.18 eV per atom.



# 13
DFT (PBE-GGA) results for YEr8Th2 after structural relaxation.

Structure (CIF):
```
data_YEr8Th2
_symmetry_space_group_name_H-M 'C 1 2/m 1'
_symmetry_Int_Tables_number 12
_cell_length_a 16.629
_cell_length_b 6.540
_cell_length_c 6.581
_cell_angle_alpha 90.00
_cell_angle_beta 99.59
_cell_angle_gamma 90.00
loop_
_symmetry_equiv_pos_as_xyz
'x,y,z'
'-x,-y,-z'
'-x,y,-z'
'x,-y,z'
'x+1/2,y+1/2,z'
'-x+1/2,-y+1/2,-z'
'-x+1/2,y+1/2,-z'
'x+1/2,-y+1/2,z'
loop_
_atom_site_label
_atom_site_type_symbol
_atom_site_fract_x
_atom_site_fract_y
_atom_site_fract_z
Y1 Y 0.000 0.000 0.000
Er1 Er 0.087 0.260 0.405
Er2 Er 0.090 0.500 0.903
Er3 Er 0.200 0.000 0.817
Th1 Th 0.248 0.000 0.335
```

The total energy comes out at -55.77 eV per formula unit. For the formation energy from the elements, the calculation gives 0.19 eV per atom.



# 14
DFT (PBE-GGA) results for YErTh after structural relaxation.

Structure (CIF):
```
data_YErTh
_symmetry_space_group_name_H-M 'I 4 m m'
_symmetry_Int_Tables_number 107
_symmetry_space_group_name_Hall 'I 4 -2'
_cell_length_a 3.573
_cell_length_b 3.573
_cell_length_c 14.977
_cell_angle_alpha 90.00
_cell_angle_beta 90.00
_cell_angle_gamma 90.00
loop_
_atom_site_label
_atom_site_type_symbol
_atom_site_fract_x
_atom_site_fract_y
_atom_site_fract_z
Y1 Y 0.000 0.000 0.000
Er1 Er 0.000 0.000 0.677
Th1 Th 0.000 0.000 0.337
```

The total energy comes out at -18.37 eV per formula unit. For the formation energy from the elements, the calculation gives 0.02 eV per atom.



# 15
DFT (PBE-GGA) results for Y6Er4Th after structural relaxation.

Structure (CIF):
```
data_Y6Er4Th
_symmetry_space_group_name_H-M 'C m c m'
_symmetry_Int_Tables_number 63
_symmetry_space_group_name_Hall '-C 2c 2'
_cell_length_a 5.670
_cell_length_b 9.728
_cell_length_c 25.663
_cell_angle_alpha 90.00
_cell_angle_beta 90.00
_cell_angle_gamma 90.00
loop_
_atom_site_label
_atom_site_type_symbol
_atom_site_fract_x
_atom_site_fract_y
_atom_site_fract_z
Y1 Y 0.000 0.000 0.000
Y2 Y 0.000 0.010 0.250
Y3 Y 0.000 0.325 0.601
Y4 Y 0.000 0.343 0.182
Er1 Er 0.000 0.011 0.122
Er2 Er 0.000 0.336 0.041
Th1 Th 0.000 0.324 0.750
```

The total energy comes out at -62.91 eV per formula unit. For the formation energy from the elements, the calculation gives 0.14 eV per atom.



# 16
DFT (PBE-GGA) results for Y2ErTh after structural relaxation.

Structure (CIF):
```
data_Y2ErTh
_symmetry_space_group_name_H-M 'P 4/m m m'
_symmetry_Int_Tables_number 123
_symmetry_space_group_name_Hall '-P 4 2'
_cell_length_a 4.157
_cell_length_b 4.157
_cell_length_c 7.443
_cell_angle_alpha 90.00
_cell_angle_beta 90.00
_cell_angle_gamma 90.00
loop_
_atom_site_label
_atom_site_type_symbol
_atom_site_fract_x
_atom_site_fract_y
_atom_site_fract_z
Y1 Y 0.000 0.000 0.248
Er1 Er 0.500 0.500 0.500
Th1 Th 0.500 0.500 0.000
```

The total energy comes out at -24.38 eV per formula unit. For the formation energy from the elements, the calculation gives 0.13 eV per atom.



# 17
DFT (PBE-GGA) results for Y4Er6Th after structural relaxation.

Structure (CIF):
```
data_Y4Er6Th
_symmetry_space_group_name_H-M 'C m c m'
_symmetry_Int_Tables_number 63
_symmetry_space_group_name_Hall '-C 2c 2'
_cell_length_a 5.639
_cell_length_b 9.725
_cell_length_c 25.520
_cell_angle_alpha 90.00
_cell_angle_beta 90.00
_cell_angle_gamma 90.00
loop_
_atom_site_label
_atom_site_type_symbol
_atom_site_fract_x
_atom_site_fract_y
_atom_site_fract_z
Y1 Y 0.000 0.004 0.122
Y2 Y 0.000 0.334 0.041
Er1 Er 0.000 0.000 0.000
Er2 Er 0.000 0.004 0.250
Er3 Er 0.000 0.330 0.603
Er4 Er 0.000 0.337 0.183
Th1 Th 0.000 0.330 0.750
```

The total energy comes out at -59.13 eV per formula unit. For the formation energy from the elements, the calculation gives 0.14 eV per atom.



# 18
DFT (PBE-GGA) results for Y2Er4Th5 after structural relaxation.

Structure (CIF):
```
data_Y2Er4Th5
_symmetry_space_group_name_H-M 'P 1 2/m 1'
_symmetry_Int_Tables_number 10
_cell_length_a 8.778
_cell_length_b 3.468
_cell_length_c 11.618
_cell_angle_alpha 90.00
_cell_angle_beta 94.65
_cell_angle_gamma 90.00
loop_
_symmetry_equiv_pos_as_xyz
'x,y,z'
'-x,-y,-z'
'-x,y,-z'
'x,-y,z'
loop_
_atom_site_label
_atom_site_type_symbol
_atom_site_fract_x
_atom_site_fract_y
_atom_site_fract_z
Y1 Y 0.057 0.000 0.136
Er1 Er 0.160 0.500 0.400
Er2 Er 0.296 0.500 0.946
Th1 Th 0.202 0.000 0.672
Th2 Th 0.428 0.000 0.209
Th3 Th 0.500 0.000 0.500
```

The total energy comes out at -66.88 eV per formula unit. For the formation energy from the elements, the calculation gives 0.13 eV per atom.



# 19
DFT (PBE-GGA) results for Y5Er12Th2 after structural relaxation.

Structure (CIF):
```
data_Y5Er12Th2
_symmetry_space_group_name_H-M 'P -1'
_symmetry_Int_Tables_number 2
_cell_length_a 6.057
_cell_length_b 9.566
_cell_length_c 11.220
_cell_angle_alpha 69.93
_cell_angle_beta 82.29
_cell_angle_gamma 89.08
loop_
_symmetry_equiv_pos_as_xyz
'x,y,z'
'-x,-y,-z'
loop_
_atom_site_label
_atom_site_type_symbol
_atom_site_fract_x
_atom_site_fract_y
_atom_site_fract_z
Y1 Y 0.000 0.000 0.000
Y2 Y 0.109 0.956 0.342
Y3 Y 0.497 0.553 0.832
Er1 Er 0.039 0.687 0.655
Er2 Er 0.073 0.314 0.042
Er3 Er 0.177 0.320 0.725
Er4 Er 0.377 0.912 0.785
Er5 Er 0.423 0.815 0.101
Er6 Er 0.428 0.188 0.485
Th1 Th 0.276 0.567 0.419
```

The total energy comes out at -99.60 eV per formula unit. For the formation energy from the elements, the calculation gives 0.12 eV per atom.



# 20
DFT (PBE-GGA) results for Y4Er3Th2 after structural relaxation.

Structure (CIF):
```
data_Y4Er3Th2
_symmetry_space_group_name_H-M 'P 3 m 1'
_symmetry_Int_Tables_number 156
_cell_length_a 3.5598
_cell_length_b 3.5598
_cell_length_c 26.3923
_cell_angle_alpha 90.00
_cell_angle_beta 90.00
_cell_angle_gamma 120.00
loop_
_symmetry_equiv_pos_as_xyz
'x,y,z'
'-y,x-y,z'
'-x+y,-x,z'
'-y,-x,z'
'-x+y,y,z'
'x,x-y,z'
loop_
_atom_site_label
_atom_site_type_symbol
_atom_site_fract_x
_atom_site_fract_y
_atom_site_fract_z
Y1 Y 0.0000 0.0000 0.0000
Y2 Y 0.0000 0.0000 0.2140
Y3 Y 0.3333 0.6667 0.3237
Y4 Y 0.3333 0.6667 0.5394
Er1 Er 0.0000 0.0000 0.4311
Er2 Er 0.3333 0.6667 0.1061
Er3 Er 0.3333 0.6667 0.7611
Th1 Th 0.0000 0.0000 0.6505
Th2 Th 0.0000 0.0000 0.8704
```

The total energy comes out at -53.78 eV per formula unit. For the formation energy from the elements, the calculation gives 0.07 eV per atom.